No. 1
# NaSi3Pd, optimized geometry, DFT PBE
data_NaSi3Pd
_chemical_formula_sum 'Na1 Si3 Pd1'
_symmetry_space_group_name_H-M 'P m -3 m'
_symmetry_Int_Tables_number 221
_symmetry_space_group_name_Hall '-P 4 2 3'
_cell_length_a 4.7892
_cell_length_b 4.7892
_cell_length_c 4.7892
_cell_angle_alpha 90.00
_cell_angle_beta 90.00
_cell_angle_gamma 90.00
loop_
_atom_site_label
_atom_site_type_symbol
_atom_site_fract_x
_atom_site_fract_y
_atom_site_fract_z
Na1 Na 0.0000 0.0000 0.0000
Si1 Si 0.0000 0.0000 0.5000
Pd1 Pd 0.5000 0.5000 0.5000
# E_form (uncorrected): 7.867 eV per formula unit
# ρ: 3.23 g/cm³


No. 2
# NaSiPd2, optimized geometry, DFT PBE
data_NaSiPd2
_chemical_formula_sum 'Na4 Si4 Pd8'
_symmetry_space_group_name_H-M 'C m c m'
_symmetry_Int_Tables_number 63
_symmetry_space_group_name_Hall '-C 2c 2'
_cell_length_a 3.8125
_cell_length_b 10.6074
_cell_length_c 6.9427
_cell_angle_alpha 90.00
_cell_angle_beta 90.00
_cell_angle_gamma 90.00
loop_
_atom_site_label
_atom_site_type_symbol
_atom_site_fract_x
_atom_site_fract_y
_atom_site_fract_z
Na1 Na 0.0000 0.0542 0.2500
Si1 Si 0.0000 0.2171 0.7500
Pd1 Pd 0.0000 0.3444 0.0487
# E_form (uncorrected): -1.785 eV per formula unit
# ρ: 6.24 g/cm³


No. 3
# Na2Si6Pd21, optimized geometry, DFT PBE
data_Na2Si6Pd21
_chemical_formula_sum 'Na8 Si24 Pd84'
_symmetry_space_group_name_H-M 'F m -3 m'
_symmetry_Int_Tables_number 225
_symmetry_space_group_name_Hall '-F 4 2 3'
_cell_length_a 12.2055
_cell_length_b 12.2055
_cell_length_c 12.2055
_cell_angle_alpha 90.00
_cell_angle_beta 90.00
_cell_angle_gamma 90.00
loop_
_atom_site_label
_atom_site_type_symbol
_atom_site_fract_x
_atom_site_fract_y
_atom_site_fract_z
Na1 Na 0.2500 0.2500 0.2500
Si1 Si 0.0000 0.0000 0.2301
Pd1 Pd 0.0000 0.0000 0.5000
Pd2 Pd 0.0000 0.1704 0.3296
Pd3 Pd 0.1174 0.1174 0.1174
# E_form (uncorrected): -15.210 eV per formula unit
# ρ: 8.95 g/cm³


No. 4
# Na2SiPd2, optimized geometry, DFT PBE
data_Na2SiPd2
_chemical_formula_sum 'Na4 Si2 Pd4'
_symmetry_space_group_name_H-M 'P 4/m b m'
_symmetry_Int_Tables_number 127
_symmetry_space_group_name_Hall '-P 4 2ab'
_cell_length_a 6.2162
_cell_length_b 6.2162
_cell_length_c 5.0128
_cell_angle_alpha 90.00
_cell_angle_beta 90.00
_cell_angle_gamma 90.00
loop_
_atom_site_label
_atom_site_type_symbol
_atom_site_fract_x
_atom_site_fract_y
_atom_site_fract_z
Na1 Na 0.1716 0.3284 0.0000
Si1 Si 0.0000 0.0000 0.5000
Pd1 Pd 0.1550 0.6550 0.5000
# E_form (uncorrected): -1.728 eV per formula unit
# ρ: 4.92 g/cm³


No. 5
# NaSi2Pd2, optimized geometry, DFT PBE
data_NaSi2Pd2
_chemical_formula_sum 'Na2 Si4 Pd4'
_symmetry_space_group_name_H-M 'P 4/m b m'
_symmetry_Int_Tables_number 127
_symmetry_space_group_name_Hall '-P 4 2ab'
_cell_length_a 7.5177
_cell_length_b 7.5177
_cell_length_c 2.8078
_cell_angle_alpha 90.00
_cell_angle_beta 90.00
_cell_angle_gamma 90.00
loop_
_atom_site_label
_atom_site_type_symbol
_atom_site_fract_x
_atom_site_fract_y
_atom_site_fract_z
Na1 Na 0.0000 0.0000 0.0000
Si1 Si 0.1543 0.3457 0.5000
Pd1 Pd 0.1387 0.6387 0.0000
# E_form (uncorrected): -1.613 eV per formula unit
# ρ: 6.11 g/cm³


No. 6
# NaSiPd6, optimized geometry, DFT PBE
data_NaSiPd6
_chemical_formula_sum 'Na3 Si3 Pd18'
_symmetry_space_group_name_H-M 'R -3 m'
_symmetry_Int_Tables_number 166
_symmetry_space_group_name_Hall '-R 3 2"'
_cell_length_a 6.2314
_cell_length_b 6.2314
_cell_length_c 13.7169
_cell_angle_alpha 90.00
_cell_angle_beta 90.00
_cell_angle_gamma 120.00
loop_
_atom_site_label
_atom_site_type_symbol
_atom_site_fract_x
_atom_site_fract_y
_atom_site_fract_z
Na1 Na 0.0000 0.0000 0.0000
Si1 Si 0.0000 0.0000 0.5000
Pd1 Pd 0.0445 0.5223 0.9072
# E_form (uncorrected): -0.414 eV per formula unit
# ρ: 7.45 g/cm³